(1)
Below is a geometry-optimized AsPIr structure, with properties calculated at the PBE-GGA level.

extended XYZ file:
```
3
Lattice="6.184 -0.003 0.000 4.811 3.885 0.000 -5.497 -1.941 2.061" Properties=species:S:1:pos:R:3 pbc="T T T"
Ir 3.482 1.229 0.000
As 10.813 3.817 0.000
P 7.695 2.717 0.000
```

D(E_F) = 1.45 states/eV/cell
Space group = I4mm, No. 107
Total magnetic moment = 0.00 μB/f.u.
Calculated formation energy = 0.075 eV per atom
E above lowest polymorph = 694 meV/atom

(2)
Below is a geometry-optimized AsPIr2 structure, with properties calculated at the PBE-GGA level.

extended XYZ file:
```
4
Lattice="-0.457 -1.171 -2.506 0.936 -4.441 1.904 -4.233 -0.468 0.991" Properties=species:S:1:pos:R:3 pbc="T T T"
P -2.345 -0.819 -0.758
As -1.648 -2.454 1.448
Ir 0.239 -2.806 -0.301
Ir 0.000 0.000 0.000
```

D(E_F) = 2.66 states/eV/cell
Space group = Pmmm, No. 47
Total magnetic moment = 0.00 μB/f.u.
Calculated formation energy = 0.396 eV per atom
E above lowest polymorph = 669 meV/atom

(3)
Below is a geometry-optimized AsPIr2 structure, with properties calculated at the PBE-GGA level.

extended XYZ file:
```
4
Lattice="9.822 0.267 0.158 9.304 3.158 0.158 9.304 1.666 2.687" Properties=species:S:1:pos:R:3 pbc="T T T"
Ir 28.349 5.077 2.994
Ir 7.069 1.266 0.747
As 20.697 3.707 2.186
P 14.960 2.679 1.580
```

D(E_F) = 3.62 states/eV/cell
Space group = R3m, No. 160
Total magnetic moment = 0.00 μB/f.u.
Calculated formation energy = 0.046 eV per atom
E above lowest polymorph = 319 meV/atom

(4)
Below is a geometry-optimized AsPIr2 structure, with properties calculated at the PBE-GGA level.

extended XYZ file:
```
8
Lattice="-3.369 -1.156 -4.017 -2.352 -3.740 3.049 -6.353 1.265 1.377" Properties=species:S:1:pos:R:3 pbc="T T T"
Ir -9.714 -3.244 0.112
Ir -6.966 -0.977 0.743
Ir -3.906 -0.846 -1.688
Ir -3.561 -2.193 1.651
As 0.000 0.000 0.000
As -6.291 -1.169 -1.562
P -2.860 -2.448 -0.484
P -5.783 -2.461 1.971
```

D(E_F) = 3.64 states/eV/cell
Space group = I-42d, No. 122
Total magnetic moment = 0.00 μB/f.u.
Calculated formation energy = -0.202 eV per atom
E above lowest polymorph = 71 meV/atom